Record 1
A geometry-optimized BaAgO3 structure. Source: OQMD, functional PBE-GGA.

E_tot = -93.0 eV/cell
ρ = 6.23 g/cm3
crystal system = orthorhombic

abc: 6.7394 6.6363 6.9899
angles: 90.00 90.00 90.00
Element x y z (fractional)
O 0.1307 0.1248 0.9504
O 0.3693 0.6248 0.9504
Ag 0.0300 0.0276 0.2500
Ag 0.9700 0.9724 0.7500
O 0.7574 0.7420 0.7500
O 0.3693 0.6248 0.5496
Ba 0.0000 0.5000 0.5000
Ag 0.4700 0.5276 0.2500
O 0.7426 0.2420 0.7500
Ag 0.5300 0.4724 0.7500
O 0.8693 0.8752 0.4504
O 0.2426 0.2580 0.2500
O 0.8693 0.8752 0.0496
O 0.6307 0.3752 0.0496
O 0.6307 0.3752 0.4504
O 0.1307 0.1248 0.5496
Ba 0.5000 0.0000 0.0000
Ba 0.0000 0.5000 0.0000
O 0.2574 0.7580 0.2500
Ba 0.5000 0.0000 0.5000


Record 2
A geometry-optimized BaLiGa2Ir structure. Source: OQMD, functional PBE-GGA.

E_tot = -21.0 eV/cell
ρ = 6.70 g/cm3
crystal system = tetragonal

abc: 4.8349 4.8349 5.0427
angles: 90.00 90.00 90.00
Element x y z (fractional)
Ir 0.0000 0.0000 0.0000
Ba 0.5000 0.5000 0.5000
Ga 0.5000 0.0000 0.0000
Ga 0.0000 0.5000 0.0000
Li 0.0000 0.0000 0.5000


Record 3
A geometry-optimized LiMg2Pt structure. Source: OQMD, functional PBE-GGA.

E_tot = -52.7 eV/cell
energy above the most stable polymorph in this dataset = 0.111 eV per atom
ρ = 6.25 g/cm3
crystal system = orthorhombic

abc: 6.1156 7.2058 6.0408
angles: 90.00 90.00 90.00
Element x y z (fractional)
Mg 0.2500 0.0178 0.2500
Pt 0.9821 0.2500 0.0000
Mg 0.7500 0.9822 0.2500
Pt 0.0179 0.7500 0.0000
Mg 0.7500 0.9822 0.7500
Li 0.4684 0.7500 0.0000
Pt 0.4821 0.7500 0.5000
Mg 0.2500 0.4822 0.2500
Li 0.0316 0.7500 0.5000
Pt 0.5179 0.2500 0.5000
Li 0.9684 0.2500 0.5000
Li 0.5316 0.2500 0.0000
Mg 0.2500 0.0178 0.7500
Mg 0.7500 0.5178 0.2500
Mg 0.2500 0.4822 0.7500
Mg 0.7500 0.5178 0.7500


Record 4
A geometry-optimized LiFeReB structure. Source: OQMD, functional PBE-GGA.

E_tot = -27.9 eV/cell
energy above the most stable polymorph in this dataset = 0.000 eV per atom
ρ = 10.67 g/cm3
crystal system = cubic

abc: 3.8526 3.8526 3.8526
angles: 60.00 60.00 60.00
Element x y z (fractional)
Fe 0.7500 0.7500 0.7500
Re 0.5000 0.5000 0.5000
B 0.0000 0.0000 0.0000
Li 0.2500 0.2500 0.2500